RbReAu2F: relaxed, PBEsol.

Properties
Space group: No. 123

Unit cell a=5.7131 b=5.7131 c=6.9840 alpha=90.00 beta=90.00 gamma=90.00
Last column: nearest neighbours and their distance in Å.
Element x y z (fractional)
Rb (0.0000, 0.0000, 0.0000)  4 Au 2.86
Re (0.0000, 0.0000, 0.5000)  2 Rb 3.49
Au (0.0000, 0.5000, 0.0000)  2 Rb 2.86
Au (0.5000, 0.0000, 0.0000)  2 Rb 2.86
F (0.5000, 0.5000, 0.5000)  4 Re 4.04, 8 Au 4.51

---

Mg3NiI: relaxed, PBEsol.

Properties
Space group: No. 221
E above lowest polymorph: 0 meV/atom

Unit cell a=4.9288 b=4.9288 c=4.9288 alpha=90.00 beta=90.00 gamma=90.00
Last column: nearest neighbours and their distance in Å.
Element x y z (fractional)
Mg (0.0000, 0.0000, 0.5000)  2 Ni 2.46
Mg (0.0000, 0.5000, 0.0000)  2 Ni 2.46
Mg (0.5000, 0.0000, 0.0000)  2 Ni 2.46
Ni (0.0000, 0.0000, 0.0000)  6 Mg 2.46
I (0.5000, 0.5000, 0.5000)  12 Mg 3.49

---

AsS2ClF: relaxed, PBEsol.

Properties
Space group: No. 123

Unit cell a=4.0812 b=4.0812 c=5.2477 alpha=90.00 beta=90.00 gamma=90.00
Last column: nearest neighbours and their distance in Å.
Element x y z (fractional)
As (0.0000, 0.0000, 0.0000)  4 Cl 2.89
S (0.0000, 0.5000, 0.5000)  2 F 2.04
S (0.5000, 0.0000, 0.5000)  2 F 2.04
Cl (0.5000, 0.5000, 0.0000)  2 F 2.62, 4 As 2.89
F (0.5000, 0.5000, 0.5000)  4 S 2.04

---

| no. | DFT total energy (eV per cell) |
| --- | --- |
| 1 | -12.038 |
| 2 | -13.000 |
| 3 | -14.916 |